No. 1
Density functional theory data (PBE-GGA) for a geometry-optimized Tb2PmMgO structure.

The density of states at the Fermi level is 4.6 states/eV/f.u. As for the volume: 117.4 Å³/f.u.

The space group is P4/mmm (No. 123) and the conventional cell measures 4.843, 4.843 and 5.004 Å, with angles of 90.00, 90.00 and 90.00 degrees. The asymmetric unit holds Tb at (0.000, 0.500, 0.000), Pm at (0.000, 0.000, 0.500), Mg at (0.500, 0.500, 0.500) and O at (0.000, 0.000, 0.000).

---

No. 2
Density functional theory data (PBE-GGA) for a geometry-optimized Pm2MgTcO6 structure.

As for the volume: 124.1 Å³/f.u.

The space group is P2_1/c (No. 14) and the conventional cell measures 5.480, 5.752 and 9.590 Å, with angles of 90.00, 124.80 and 90.00 degrees. The asymmetric unit holds Pm at (0.232, 0.063, 0.249), Mg at (0.000, 0.000, 0.500), Tc at (0.500, 0.000, 0.000), O at (0.147, 0.197, 0.947), O at (0.251, 0.704, 0.944) and O at (0.358, 0.036, 0.753).

---

No. 3
Density functional theory data (PBE-GGA) for a geometry-optimized PmMgTc2O8 structure.

The density of states at the Fermi level is 5.0 states/eV/f.u. As for the volume: 150.0 Å³/f.u.

The space group is I-4 (No. 82) and the conventional cell measures 5.159, 5.159 and 11.269 Å, with angles of 90.00, 90.00 and 90.00 degrees. The asymmetric unit holds Pm at (0.000, 0.000, 0.000), Mg at (0.000, 0.500, 0.750), Tc at (0.000, 0.000, 0.500), Tc at (0.000, 0.500, 0.250), O at (0.159, 0.256, 0.587) and O at (0.174, 0.753, 0.170).

---

No. 4
Density functional theory data (PBE-GGA) for a geometry-optimized PmMgTcO6 structure.

As for the volume: 118.2 Å³/f.u.

The space group is P312 (No. 149) and the conventional cell measures 5.2214, 5.2214 and 5.0082 Å, with angles of 90.00, 90.00 and 120.00 degrees. The asymmetric unit holds Pm at (0.0000, 0.0000, 0.0000), Mg at (0.3333, 0.6667, 0.5000), Tc at (0.6667, 0.3333, 0.5000) and O at (0.3758, 0.0249, 0.7155).

---

No. 5
Density functional theory data (PBE-GGA) for a geometry-optimized PmMgTe2O8 structure.

The density of states at the Fermi level is 2.6 states/eV/f.u. As for the volume: 181.8 Å³/f.u.

The space group is I-4m2 (No. 119) and the conventional cell measures 7.335, 7.335 and 6.760 Å, with angles of 90.00, 90.00 and 90.00 degrees. The asymmetric unit holds Pm at (0.000, 0.000, 0.000), Mg at (0.000, 0.500, 0.250), Te at (0.000, 0.000, 0.500), Te at (0.000, 0.500, 0.750), O at (0.000, 0.192, 0.310) and O at (0.000, 0.317, 0.944).

---

Values of energy, in order: -5.310; -7.821; -7.515; -7.326; -5.967, all in eV/atom.